## MnPt3Se8 (GGA-PBE)

Data for MnPt3Se8 after structural relaxation.

Calculated values
DOS at the Fermi energy in states/eV/f.u.: 0.780
Total DFT energy (no corrections) in eV per cell: -119.7

a = 12.843 Å, b = 7.416 Å, c = 7.635 Å
α = 90.00°, β = 124.59°, γ = 90.00°
Space group C2/m (No. 12)
Unique sites:
Mn 0.000 0.000 0.000 x2
Pt 0.000 0.500 0.000 x2
Pt 0.250 0.250 0.000 x4
Se 0.010 0.248 0.786 x8
Se 0.237 0.000 0.214 x4
Se 0.238 0.500 0.211 x4

---

## MnPtSe2 (GGA-PBE)

Data for MnPtSe2 after structural relaxation.

Calculated values
DOS at the Fermi energy in states/eV/f.u.: 2.982
Total DFT energy (no corrections) in eV per cell: -23.2

a = 3.938 Å, b = 3.938 Å, c = 5.731 Å
α = 90.00°, β = 90.00°, γ = 90.00°
Space group P-4m2 (No. 115)
Unique sites:
Mn 0.000 0.000 0.000 x1
Pt 0.500 0.500 0.000 x1
Se 0.000 0.500 0.278 x2

---

## MnPtSe2 (GGA-PBE)

Data for MnPtSe2 after structural relaxation.

Calculated values
DOS at the Fermi energy in states/eV/f.u.: 2.299
Total DFT energy (no corrections) in eV per cell: -44.3

a = 5.652 Å, b = 7.194 Å, c = 3.832 Å
α = 90.00°, β = 90.00°, γ = 90.00°
Space group Cmmm (No. 65)
Unique sites:
Mn 0.000 0.000 0.000 x2
Pt 0.000 0.500 0.000 x2
Se 0.000 0.263 0.500 x4

---

## Mn2PtSe6 (GGA-PBE)

Data for Mn2PtSe6 after structural relaxation.

Calculated values
DOS at the Fermi energy in states/eV/f.u.: 1.019
Total DFT energy (no corrections) in eV per cell: -98.2

a = 16.681 Å, b = 3.628 Å, c = 7.722 Å
α = 90.00°, β = 108.84°, γ = 90.00°
Space group C2/m (No. 12)
Unique sites:
Mn 0.169 0.000 0.337 x4
Pt 0.000 0.500 0.000 x2
Se 0.012 0.000 0.234 x4
Se 0.161 0.500 0.109 x4
Se 0.174 0.500 0.562 x4

---

## MnPtSe2 (GGA-PBE)

Data for MnPtSe2 after structural relaxation.

Calculated values
DOS at the Fermi energy in states/eV/f.u.: 2.816
Total DFT energy (no corrections) in eV per cell: -67.9

a = 3.8645 Å, b = 3.8645 Å, c = 17.5097 Å
α = 90.00°, β = 90.00°, γ = 120.00°
Space group R-3m (No. 166, hexagonal axes)
Unique sites:
Mn 0.0000 0.0000 0.0000 x3
Pt 0.0000 0.0000 0.5000 x3
Se 0.0000 0.0000 0.2487 x6

---

## MnPtSe2 (GGA-PBE)

Data for MnPtSe2 after structural relaxation.

Calculated values
DOS at the Fermi energy in states/eV/f.u.: 2.273
Total DFT energy (no corrections) in eV per cell: -43.3

a = 3.799 Å, b = 3.799 Å, c = 9.747 Å
α = 90.00°, β = 90.00°, γ = 90.00°
Space group I-4m2 (No. 119)
Unique sites:
Mn 0.000 0.000 0.000 x2
Pt 0.000 0.500 0.750 x2
Se 0.000 0.000 0.500 x2
Se 0.000 0.500 0.250 x2

---

## MnPtSe4 (GGA-PBE)

Data for MnPtSe4 after structural relaxation.

Calculated values
DOS at the Fermi energy in states/eV/f.u.: 0.580
Total DFT energy (no corrections) in eV per cell: -31.6

a = 6.186 Å, b = 3.668 Å, c = 6.324 Å
α = 90.00°, β = 90.50°, γ = 90.00°
Space group P2/m (No. 10)
Unique sites:
Mn 0.000 0.000 0.000 x1
Pt 0.000 0.500 0.500 x1
Se 0.220 0.000 0.672 x2
Se 0.221 0.500 0.164 x2

---

## MnPtSe2 (GGA-PBE)

Data for MnPtSe2 after structural relaxation.

Calculated values
DOS at the Fermi energy in states/eV/f.u.: 2.605
Total DFT energy (no corrections) in eV per cell: -21.9

a = 4.481 Å, b = 4.481 Å, c = 3.394 Å
α = 90.00°, β = 90.00°, γ = 90.00°
Space group P4/mmm (No. 123)
Unique sites:
Mn 0.000 0.000 0.000 x1
Pt 0.500 0.500 0.000 x1
Se 0.000 0.500 0.500 x2

---

## MnPtSe2 (GGA-PBE)

Data for MnPtSe2 after structural relaxation.

Calculated values
DOS at the Fermi energy in states/eV/f.u.: 4.328
Total DFT energy (no corrections) in eV per cell: -88.3

a = 5.606 Å, b = 5.606 Å, c = 10.555 Å
α = 90.00°, β = 90.00°, γ = 90.00°
Space group I-42d (No. 122)
Unique sites:
Mn 0.000 0.000 0.000 x4
Pt 0.000 0.000 0.500 x4
Se 0.219 0.250 0.125 x8

---

## MnPtSe2 (GGA-PBE)

Data for MnPtSe2 after structural relaxation.

Calculated values
DOS at the Fermi energy in states/eV/f.u.: 1.793
Total DFT energy (no corrections) in eV per cell: -45.5

a = 3.666 Å, b = 3.666 Å, c = 11.253 Å
α = 90.00°, β = 90.00°, γ = 90.00°
Space group I4mm (No. 107)
Unique sites:
Mn 0.000 0.000 0.000 x2
Pt 0.000 0.000 0.768 x2
Se 0.000 0.000 0.238 x2
Se 0.000 0.000 0.526 x2

---

## MnPtSe2 (GGA-PBE)

Data for MnPtSe2 after structural relaxation.

Calculated values
DOS at the Fermi energy in states/eV/f.u.: 1.519
Total DFT energy (no corrections) in eV per cell: -47.0

a = 3.829 Å, b = 4.042 Å, c = 12.092 Å
α = 90.00°, β = 90.00°, γ = 90.00°
Space group Immm (No. 71)
Unique sites:
Mn 0.000 0.000 0.000 x2
Pt 0.000 0.000 0.500 x2
Se 0.000 0.500 0.137 x4

---

## Mn4PtSe (GGA-PBE)

Data for Mn4PtSe after structural relaxation.

Calculated values
DOS at the Fermi energy in states/eV/f.u.: 8.525
Total DFT energy (no corrections) in eV per cell: -175.5

a = 6.904 Å, b = 6.904 Å, c = 6.904 Å
α = 90.00°, β = 90.00°, γ = 90.00°
Space group F-43m (No. 216)
Unique sites:
Mn 0.125 0.125 0.125 x16
Pt 0.000 0.000 0.500 x4
Se 0.250 0.250 0.750 x4